Material: ReI6
Method: DFT, PBE
State: optimized geometry

Unit cell a=6.9785 b=6.9785 c=6.1548 alpha=90.00 beta=90.00 gamma=120.00
Space group P-31m (No. 162)
Symmetry-distinct sites (fractional):
Re 0.0000 0.0000 0.0000 x1
I 0.0000 0.3149 0.2510 x6

Output
Uncorrected energy, Ry per atom: -0.2204
Size of the total moment, Bohr magnetons per cell: 0.66
Formation energy from raw total energies, eV per formula unit: 0.76
DOS at the Fermi energy, states/eV per atom: 0.762

=====

Material: HfCuAsSe2
Method: DFT, PBE
State: optimized geometry

Unit cell a=4.6940 b=4.6940 c=4.6936 alpha=90.00 beta=90.00 gamma=90.00
Space group P4/mmm (No. 123)
Symmetry-distinct sites (fractional):
Hf 0.0000 0.0000 0.0000 x1
Cu 0.5000 0.5000 0.5000 x1
As 0.5000 0.5000 0.0000 x1
Se 0.0000 0.5000 0.5000 x2

Output
Uncorrected energy, Ry per atom: -0.3548
Size of the total moment, Bohr magnetons per cell: 0.00
Energy above the most stable polymorph in this dataset, eV per formula unit: 0.64
Formation energy from raw total energies, eV per formula unit: 1.53
DOS at the Fermi energy, states/eV per atom: 0.753

=====

Material: Bi2PtSe2
Method: DFT, PBE
State: optimized geometry

Unit cell a=6.7254 b=6.7254 c=5.8929 alpha=90.00 beta=90.00 gamma=90.00
Space group P4/mbm (No. 127)
Symmetry-distinct sites (fractional):
Bi 0.2050 0.2950 0.0000 x4
Pt 0.0000 0.0000 0.5000 x2
Se 0.1668 0.3332 0.5000 x4

Output
Uncorrected energy, Ry per atom: -0.3085
Size of the total moment, Bohr magnetons per cell: 0.00
Formation energy from raw total energies, eV per formula unit: -0.22
DOS at the Fermi energy, states/eV per atom: 0.627

=====

Material: PmDyTcO6
Method: DFT, PBE
State: optimized geometry

Unit cell a=5.5171 b=5.5171 c=9.8183 alpha=90.00 beta=90.00 gamma=120.00
Space group P-31c (No. 163)
Symmetry-distinct sites (fractional):
Pm 0.0000 0.0000 0.0000 x2
Dy 0.3333 0.6667 0.2500 x2
Tc 0.3333 0.6667 0.7500 x2
O 0.0431 0.3745 0.6385 x12

Output
Uncorrected energy, Ry per atom: -0.5872
Size of the total moment, Bohr magnetons per cell: 2.04
Formation energy from raw total energies, eV per formula unit: -22.43
DOS at the Fermi energy, states/eV per atom: 0.423

=====

Material: Mn2CoPd8
Method: DFT, PBE
State: optimized geometry

Unit cell a=7.9079 b=10.3937 c=4.1574 alpha=90.00 beta=90.09 gamma=90.00
Space group C2/m (No. 12)
Symmetry-distinct sites (fractional):
Mn 0.0000 0.1256 0.0000 x4
Co 0.0000 0.5000 0.5000 x2
Pd 0.0000 0.2543 0.5000 x4
Pd 0.1703 0.0000 0.4992 x4
Pd 0.1734 0.3682 0.0005 x8

Output
Uncorrected energy, Ry per atom: -0.4432
Size of the total moment, Bohr magnetons per cell: 22.05
Formation energy from the elements, eV/f.u.: 0.65
DOS at the Fermi energy, states/eV per atom: 1.261

=====

Material: BaScNb2
Method: DFT, PBE
State: optimized geometry

Unit cell a=7.2451 b=7.2451 c=7.2451 alpha=90.00 beta=90.00 gamma=90.00
Space group Fm-3m (No. 225)
Symmetry-distinct sites (fractional):
Ba 0.0000 0.0000 0.0000 x4
Sc 0.0000 0.0000 0.5000 x4
Nb 0.2500 0.2500 0.2500 x8

Output
Uncorrected energy, Ry per atom: -0.4428
Size of the total moment, Bohr magnetons per cell: 6.64
Formation energy from the elements, eV/f.u.: 4.30
Energy above the most stable polymorph in this dataset, eV per formula unit: 0.00
DOS at the Fermi energy, states/eV per atom: 2.162